! HfTa4Tc5, optimized geometry, DFT PBE-GGA; values from VASP
! - symmetry = No. 123
! - DOS at the Fermi energy (states/eV/atom) = 0.37
! - calculated total energy (eV/atom) = -11.431
! - energy of formation (eV per atom) = -0.51
&SYSTEM
  ibrav = 0, nat = 10, ntyp = 3
/
ATOMIC_SPECIES
Hf 178.49 Hf.upf
Ta 180.95 Ta.upf
Tc 98.00 Tc.upf
CELL_PARAMETERS angstrom
3.200 0.000 0.000
0.000 3.200 0.000
0.000 0.000 16.034
ATOMIC_POSITIONS crystal
Hf 0.000 0.000 0.000
Ta 0.000 0.000 0.201
Ta 0.000 0.000 0.400
Ta 0.000 0.000 0.600
Ta 0.000 0.000 0.799
Tc 0.500 0.500 0.106
Tc 0.500 0.500 0.303
Tc 0.500 0.500 0.500
Tc 0.500 0.500 0.697
Tc 0.500 0.500 0.894